1.
Compound: ScTaCd2
Source: Alexandria
Functional: PBE
Structure: relaxed

Computed properties:
ΔE_f = 160 meV/atom
E_tot = -4.84 eV per atom
distance to the lowest polymorph of the same formula = 160 meV/atom

Cell lengths 4.535, 3.075, 6.157 Å; angles 75.46, 90.00, 90.00 degrees
Atoms (fractional coordinates):
Cd 0.000 0.195 0.984
Cd 0.500 0.056 0.263
Sc 0.000 0.439 0.497
Ta 0.500 0.809 0.756



2.
Compound: ScTaCd2
Source: Alexandria
Functional: PBE
Structure: relaxed

Computed properties:
ΔE_f = 80 meV/atom
E_tot = -4.92 eV per atom
distance to the lowest polymorph of the same formula = 80 meV/atom

Cell lengths 3.037, 3.037, 8.731 Å; angles 90.00, 90.00, 90.00 degrees
Atoms (fractional coordinates):
Cd 0.000 0.000 0.995
Cd 0.000 0.000 0.505
Sc 0.500 0.500 0.250
Ta 0.500 0.500 0.750



3.
Compound: ScTaCd2
Source: Alexandria
Functional: PBE
Structure: relaxed

Computed properties:
ΔE_f = 150 meV/atom
E_tot = -4.85 eV per atom
distance to the lowest polymorph of the same formula = 150 meV/atom

Cell lengths 3.102, 4.218, 6.299 Å; angles 90.00, 90.00, 90.00 degrees
Atoms (fractional coordinates):
Cd 0.000 0.000 0.993
Cd 0.500 0.500 0.250
Sc 0.000 0.000 0.510
Ta 0.500 0.500 0.747



4.
Compound: ScTaCd2
Source: Alexandria
Functional: PBE
Structure: relaxed

Computed properties:
ΔE_f = 177 meV/atom
E_tot = -4.83 eV per atom
distance to the lowest polymorph of the same formula = 177 meV/atom

Cell lengths 5.451, 5.451, 5.344 Å; angles 81.97, 81.97, 31.68 degrees
Atoms (fractional coordinates):
Cd 0.003 0.003 0.993
Cd 0.497 0.497 0.507
Sc 0.250 0.250 0.250
Ta 0.750 0.750 0.750



5.
Compound: ScTaCd2
Source: Alexandria
Functional: PBE
Structure: relaxed

Computed properties:
ΔE_f = 219 meV/atom
E_tot = -4.78 eV per atom
distance to the lowest polymorph of the same formula = 219 meV/atom

Cell lengths 4.861, 4.861, 4.861 Å; angles 60.00, 60.00, 60.00 degrees
Atoms (fractional coordinates):
Sc 0.000 0.000 0.000
Cd 0.250 0.250 0.250
Cd 0.750 0.750 0.750
Ta 0.500 0.500 0.500



6.
Compound: ScTaCd2
Source: Alexandria
Functional: PBE
Structure: relaxed

Computed properties:
ΔE_f = 0 meV/atom
E_tot = -5.00 eV per atom
distance to the lowest polymorph of the same formula = 0 meV/atom

Cell lengths 2.961, 2.961, 9.413 Å; angles 90.00, 90.00, 89.97 degrees
Atoms (fractional coordinates):
Cd 0.000 0.000 0.993
Cd 0.500 0.500 0.250
Sc 0.000 0.000 0.512
Ta 0.500 0.500 0.746



7.
Compound: ScTaCd2
Source: Alexandria
Functional: PBE
Structure: relaxed

Computed properties:
ΔE_f = 236 meV/atom
E_tot = -4.77 eV per atom
distance to the lowest polymorph of the same formula = 236 meV/atom

Cell lengths 5.989, 5.989, 5.989 Å; angles 148.76, 131.45, 58.88 degrees
Atoms (fractional coordinates):
Cd 0.009 0.009 0.000
Cd 0.491 0.491 0.000
Sc 0.750 0.250 0.500
Ta 0.250 0.750 0.500



8.
Compound: ScTa3Cd
Source: Alexandria
Functional: PBE
Structure: relaxed

Computed properties:
ΔE_f = 1913 meV/atom
E_tot = -6.65 eV per atom
distance to the lowest polymorph of the same formula = 107 meV/atom

Cell lengths 4.999, 4.999, 4.999 Å; angles 90.00, 90.00, 90.00 degrees
Atoms (fractional coordinates):
Sc 0.500 0.500 0.500
Cd 0.000 0.000 0.000
Ta 0.000 0.500 0.000
Ta 0.000 0.000 0.500
Ta 0.500 0.000 0.000



9.
Compound: ScTaCd2
Source: Alexandria
Functional: PBE
Structure: relaxed

Computed properties:
ΔE_f = 111 meV/atom
E_tot = -4.89 eV per atom
distance to the lowest polymorph of the same formula = 111 meV/atom

Cell lengths 4.305, 3.106, 6.796 Å; angles 62.59, 90.00, 90.00 degrees
Atoms (fractional coordinates):
Cd 0.000 0.006 0.994
Cd 0.000 0.494 0.506
Sc 0.500 0.250 0.250
Ta 0.500 0.750 0.750



10.
Compound: ScTaCd2
Source: Alexandria
Functional: PBE
Structure: relaxed

Computed properties:
ΔE_f = 111 meV/atom
E_tot = -4.89 eV per atom
distance to the lowest polymorph of the same formula = 111 meV/atom

Cell lengths 6.803, 5.289, 3.052 Å; angles 89.89, 63.54, 120.97 degrees
Atoms (fractional coordinates):
Cd 0.000 0.000 0.000
Cd 0.500 0.000 0.500
Sc 0.000 0.500 0.500
Ta 0.500 0.500 0.000



11.
Compound: ScTaCd3
Source: Alexandria
Functional: PBE
Structure: relaxed

Computed properties:
ΔE_f = 1049 meV/atom
E_tot = -3.14 eV per atom
distance to the lowest polymorph of the same formula = 0 meV/atom

Cell lengths 5.263, 5.263, 5.263 Å; angles 90.00, 90.00, 90.00 degrees
Atoms (fractional coordinates):
Sc 0.500 0.500 0.500
Cd 0.000 0.500 0.000
Cd 0.000 0.000 0.500
Cd 0.500 0.000 0.000
Ta 0.000 0.000 0.000



12.
Compound: ScTaCd
Source: Alexandria
Functional: PBE
Structure: relaxed

Computed properties:
ΔE_f = -72 meV/atom
E_tot = -6.44 eV per atom
distance to the lowest polymorph of the same formula = 0 meV/atom

Cell lengths 3.439, 3.439, 10.690 Å; angles 90.00, 90.00, 90.00 degrees
Atoms (fractional coordinates):
Ta 0.000 0.500 0.563
Ta 0.500 0.000 0.437
Sc 0.000 0.500 0.271
Sc 0.500 0.000 0.729
Cd 0.500 0.000 0.087
Cd 0.000 0.500 0.913



no.,spin magnetization (μB per formula unit)
1,0.0
2,0.2
3,0.0
4,0.0
5,0.0
6,0.0
7,0.0
8,0.0
9,0.0
10,0.0
11,0.0
12,0.0